# 1
DFT (GGA-PBE) results for a relaxed YSb crystal.

## Properties
**Calculated density**: 5.92 g/cm³
**Formation energy (no corrections)**: -175.9 meV per atom

POSCAR file:
```
YSb
1.0
-9.681 3.120 -0.955
-10.161 0.055 1.055
-9.299 3.240 2.720
Sb Y
2 2
Direct
0.004 0.004 0.004 Sb
0.746 0.746 0.746 Sb
0.257 0.257 0.257 Y
0.493 0.493 0.493 Y
```


# 2
DFT (GGA-PBE) results for a relaxed KRbSn2F6 crystal.

## Properties
**Calculated density**: 3.40 g/cm³
**Formation energy (no corrections)**: -2503.2 meV per atom

POSCAR file:
```
KRbSn2F6
1.0
7.657 -0.216 -0.224
2.159 7.746 0.741
2.159 0.453 7.768
F Rb K Sn
12 2 2 4
Direct
0.792 0.312 0.397 F
0.208 0.688 0.603 F
0.375 0.337 0.935 F
0.453 0.894 0.414 F
0.047 0.586 0.106 F
0.125 0.065 0.663 F
0.292 0.397 0.312 F
0.953 0.414 0.894 F
0.875 0.935 0.337 F
0.708 0.603 0.688 F
0.547 0.106 0.586 F
0.625 0.663 0.065 F
0.750 0.230 0.770 Rb
0.250 0.770 0.230 Rb
0.750 0.649 0.351 K
0.250 0.351 0.649 K
0.660 0.148 0.317 Sn
0.160 0.317 0.148 Sn
0.340 0.852 0.683 Sn
0.840 0.683 0.852 Sn
```


# 3
DFT (GGA-PBE) results for a relaxed K2RhCl crystal.

## Properties
**Calculated density**: 2.73 g/cm³
**Formation energy (no corrections)**: -80.9 meV per atom
**ΔE to the lowest computed polymorph**: 247 meV/atom

POSCAR file:
```
K2RhCl
1.0
-1.611 -4.071 -0.775
2.462 -1.609 3.334
-4.993 1.166 4.250
K Cl Rh
2 1 1
Direct
0.500 0.500 0.375 K
0.000 0.000 0.875 K
0.500 0.500 0.875 Cl
0.000 0.000 0.376 Rh
```


# 4
DFT (GGA-PBE) results for a relaxed Tb2Tm7Tc2 crystal.

## Properties
**Calculated density**: 9.10 g/cm³
**Formation energy from the elements**: 0.060 eV per atom

POSCAR file:
```
Tb2Tm7Tc2
1.0
-1.292 -2.452 -2.158
8.819 -5.973 -1.350
3.068 -8.809 5.316
Tm Tb Tc
7 2 2
Direct
0.581 0.514 0.323 Tm
0.419 0.677 0.486 Tm
0.500 0.042 0.958 Tm
0.863 0.020 0.254 Tm
0.114 0.161 0.611 Tm
0.886 0.389 0.839 Tm
0.137 0.746 0.980 Tm
0.756 0.826 0.663 Tb
0.244 0.337 0.174 Tb
0.500 0.344 0.656 Tc
0.000 0.799 0.201 Tc
```


# 5
DFT (GGA-PBE) results for a relaxed V3N4 crystal.

## Properties
**Calculated density**: 4.56 g/cm³
**Formation energy (no corrections)**: -776.1 meV per atom

POSCAR file:
```
V3N4
1.0
3.563 0.925 -6.934
-7.750 1.095 0.608
0.435 2.751 0.590
N V
8 6
Direct
0.323 0.371 0.750 N
0.951 0.323 0.250 N
0.667 0.333 0.750 N
0.333 0.667 0.250 N
0.049 0.677 0.750 N
0.677 0.629 0.250 N
0.371 0.049 0.250 N
0.629 0.951 0.750 N
0.331 0.862 0.750 V
0.469 0.331 0.250 V
0.531 0.669 0.750 V
0.138 0.469 0.750 V
0.862 0.531 0.250 V
0.669 0.138 0.250 V
```


# 6
DFT (GGA-PBE) results for a relaxed CeDy2Rh crystal.

## Properties
**Calculated density**: 9.13 g/cm³
**Formation energy from the elements**: -0.373 eV per atom
**ΔE to the lowest computed polymorph**: 91 meV/atom

POSCAR file:
```
CeDy2Rh
1.0
3.453 0.000 0.000
0.000 3.453 0.000
0.000 0.000 8.662
Ce Rh Dy
1 1 2
Direct
0.500 0.500 0.500 Ce
0.500 0.500 0.000 Rh
0.000 0.000 0.809 Dy
0.000 0.000 0.191 Dy
```


# 7
DFT (GGA-PBE) results for a relaxed CdHgW2 crystal.

## Properties
**Calculated density**: 15.66 g/cm³
**Formation energy from the elements**: 0.803 eV per atom
**ΔE to the lowest computed polymorph**: 372 meV/atom

POSCAR file:
```
CdHgW2
1.0
-1.473 -4.976 -1.573
3.625 2.679 -3.015
2.068 -1.091 1.516
Cd Hg W
1 1 2
Direct
0.500 0.000 0.500 Cd
0.000 0.500 0.500 Hg
0.500 0.500 0.000 W
0.000 0.000 0.000 W
```


# 8
DFT (GGA-PBE) results for a relaxed SrSbF2 crystal.

## Properties
**Calculated density**: 3.87 g/cm³
**Formation energy (no corrections)**: -2117.0 meV per atom
**ΔE to the lowest computed polymorph**: 340 meV/atom

POSCAR file:
```
SrSbF2
1.0
-3.602 2.886 -4.812
-4.748 -4.615 0.787
-6.316 1.894 1.244
F Sb Sr
4 2 2
Direct
0.222 0.625 0.250 F
0.528 0.125 0.250 F
0.875 0.778 0.750 F
0.375 0.472 0.750 F
0.750 0.250 0.500 Sb
0.000 0.000 0.000 Sb
0.500 0.500 0.000 Sr
0.250 0.750 0.500 Sr
```


# 9
DFT (GGA-PBE) results for a relaxed Dy4NiRu crystal.

## Properties
**Calculated density**: 8.02 g/cm³
**Formation energy from the elements**: -0.216 eV per atom
**ΔE to the lowest computed polymorph**: 40 meV/atom

POSCAR file:
```
Dy4NiRu
1.0
7.604 -0.132 0.000
-3.191 6.903 0.000
-2.206 -3.386 6.442
Dy Ni Ru
8 2 2
Direct
0.798 0.999 0.799 Dy
0.749 0.450 0.701 Dy
0.299 0.501 0.799 Dy
0.251 0.952 0.701 Dy
0.251 0.549 0.299 Dy
0.702 0.501 0.201 Dy
0.200 0.999 0.201 Dy
0.749 0.048 0.299 Dy
0.002 0.502 0.500 Ni
0.252 0.252 0.000 Ni
0.748 0.748 0.000 Ru
0.498 0.998 0.500 Ru
```


# 10
DFT (GGA-PBE) results for a relaxed Tb4As6Rh7 crystal.

## Properties
**Calculated density**: 10.03 g/cm³
**Formation energy from the elements**: -1.013 eV per atom

POSCAR file:
```
Tb4As6Rh7
1.0
-0.785 -1.807 -7.025
4.436 -4.788 3.262
-6.517 -0.097 3.279
As Rh Tb
6 7 4
Direct
0.319 0.319 0.000 As
0.681 0.000 0.681 As
0.000 0.681 0.681 As
0.319 0.000 0.319 As
0.681 0.681 0.000 As
0.000 0.319 0.319 As
0.500 0.250 0.750 Rh
0.750 0.500 0.250 Rh
0.750 0.250 0.500 Rh
0.250 0.750 0.500 Rh
0.250 0.500 0.750 Rh
0.000 0.000 0.000 Rh
0.500 0.750 0.250 Rh
0.500 0.500 0.500 Tb
0.500 0.000 0.000 Tb
0.000 0.500 0.000 Tb
0.000 0.000 0.500 Tb
```


# 11
DFT (GGA-PBE) results for a relaxed Ho4In2AgHg crystal.

## Properties
**Calculated density**: 9.72 g/cm³
**Formation energy from the elements**: -0.426 eV per atom

POSCAR file:
```
Ho4In2AgHg
1.0
-2.665 4.460 0.729
-4.012 0.136 3.378
3.167 3.721 7.684
Ho In Hg Ag
4 2 1 1
Direct
0.126 0.126 0.623 Ho
0.624 0.624 0.128 Ho
0.376 0.376 0.872 Ho
0.874 0.874 0.377 Ho
0.751 0.751 0.747 In
0.249 0.249 0.253 In
0.000 0.000 0.000 Hg
0.500 0.500 0.500 Ag
```


# 12
DFT (GGA-PBE) results for a relaxed LiTl2W crystal.

## Properties
**Calculated density**: 11.90 g/cm³
**Formation energy from the elements**: 0.647 eV per atom
**ΔE to the lowest computed polymorph**: 164 meV/atom

POSCAR file:
```
LiTl2W
1.0
3.019 0.000 0.000
0.000 4.830 0.000
0.000 0.000 5.740
Li Tl W
1 2 1
Direct
0.500 0.500 0.788 Li
0.000 0.000 0.930 Tl
0.500 0.500 0.341 Tl
0.000 0.000 0.440 W
```


# 13
DFT (GGA-PBE) results for a relaxed CaScInCu crystal.

## Properties
**Calculated density**: 4.81 g/cm³
**Formation energy from the elements**: -0.215 eV per atom

POSCAR file:
```
CaScInCu
1.0
-0.339 -1.679 4.748
-4.115 -2.507 1.503
0.267 -4.949 0.952
Cu Sc In Ca
1 1 1 1
Direct
0.250 0.250 0.250 Cu
0.500 0.500 0.500 Sc
0.750 0.750 0.750 In
0.000 0.000 0.000 Ca
```


# 14
DFT (GGA-PBE) results for a relaxed Pm6Nd2Er3In crystal.

## Properties
**Calculated density**: 7.62 g/cm³
**Formation energy from the elements**: -0.052 eV per atom

POSCAR file:
```
Pm6Nd2Er3In
1.0
6.190 -0.006 -0.001
-3.098 5.358 -0.001
-1.033 -1.788 11.675
Er Nd Pm In
3 2 6 1
Direct
0.500 0.500 0.500 Er
0.833 0.167 0.500 Er
0.167 0.833 0.500 Er
0.334 0.666 0.000 Nd
0.666 0.334 0.000 Nd
0.410 0.084 0.252 Pm
0.084 0.410 0.252 Pm
0.590 0.916 0.748 Pm
0.242 0.242 0.747 Pm
0.916 0.590 0.748 Pm
0.758 0.758 0.253 Pm
0.000 0.000 0.000 In
```


# 15
DFT (GGA-PBE) results for a relaxed Y2RhW crystal.

## Properties
**Calculated density**: 8.05 g/cm³
**Formation energy from the elements**: -0.026 eV per atom
**ΔE to the lowest computed polymorph**: 0 meV/atom

POSCAR file:
```
Y2RhW
1.0
4.108 0.000 0.000
0.000 4.422 -0.004
0.000 2.208 5.275
Y Rh W
2 1 1
Direct
0.000 0.975 0.926 Y
0.500 0.272 0.330 Y
0.000 0.686 0.501 Rh
0.500 0.566 0.744 W
```


# 16
DFT (GGA-PBE) results for a relaxed Rb2TeC crystal.

## Properties
**Calculated density**: 2.90 g/cm³
**Formation energy (no corrections)**: 627.4 meV per atom
**ΔE to the lowest computed polymorph**: 0 meV/atom

POSCAR file:
```
Rb2TeC
1.0
-11.517 -4.138 3.137
4.301 -11.878 0.120
-3.094 -7.800 3.789
C Rb Te
2 4 2
Direct
0.250 0.750 0.500 C
0.500 0.500 0.000 C
0.407 0.125 0.250 Rb
0.343 0.625 0.250 Rb
0.375 0.593 0.750 Rb
0.875 0.657 0.750 Rb
0.750 0.250 0.500 Te
0.000 0.000 0.000 Te
```


# 17
DFT (GGA-PBE) results for a relaxed KP3H12 crystal.

## Properties
**Calculated density**: 0.88 g/cm³

POSCAR file:
```
KP3H12
1.0
-5.961 5.856 1.133
-5.910 1.196 -5.895
-9.079 -3.623 2.336
H K P
24 2 6
Direct
0.233 0.828 0.207 H
0.722 0.240 0.792 H
0.732 0.233 0.207 H
0.828 0.732 0.207 H
0.240 0.246 0.792 H
0.530 0.935 0.476 H
0.935 0.059 0.476 H
0.559 0.435 0.976 H
0.328 0.733 0.707 H
0.435 0.030 0.976 H
0.059 0.530 0.476 H
0.246 0.722 0.792 H
0.621 0.147 0.073 H
0.232 0.328 0.707 H
0.030 0.559 0.976 H
0.647 0.121 0.573 H
0.159 0.621 0.073 H
0.733 0.232 0.707 H
0.659 0.647 0.573 H
0.222 0.746 0.292 H
0.147 0.159 0.073 H
0.740 0.222 0.292 H
0.121 0.659 0.573 H
0.746 0.740 0.292 H
0.600 0.600 0.201 K
0.100 0.100 0.701 K
0.727 0.264 0.990 P
0.264 0.020 0.990 P
0.520 0.764 0.490 P
0.020 0.727 0.990 P
0.227 0.520 0.490 P
0.764 0.227 0.490 P
```


# 18
DFT (GGA-PBE) results for a relaxed TbYAgPd crystal.

## Properties
**Calculated density**: 8.34 g/cm³
**Formation energy from the elements**: -0.584 eV per atom
**ΔE to the lowest computed polymorph**: 9 meV/atom

POSCAR file:
```
TbYAgPd
1.0
-0.126 5.061 -0.214
-4.419 2.444 0.413
-1.029 2.687 4.171
Y Pd Ag Tb
1 1 1 1
Direct
0.750 0.750 0.750 Y
0.500 0.500 0.500 Pd
0.000 0.000 0.000 Ag
0.250 0.250 0.250 Tb
```


# 19
DFT (GGA-PBE) results for a relaxed Dy6AlZn crystal.

## Properties
**Calculated density**: 8.04 g/cm³
**Formation energy from the elements**: -0.166 eV per atom

POSCAR file:
```
Dy6AlZn
1.0
0.669 3.764 3.269
-1.790 -2.906 3.694
7.500 -2.438 5.122
Dy Zn Al
6 1 1
Direct
0.749 0.749 0.503 Dy
0.605 0.105 0.790 Dy
0.105 0.605 0.790 Dy
0.895 0.395 0.210 Dy
0.251 0.251 0.497 Dy
0.395 0.895 0.210 Dy
0.000 0.000 0.000 Zn
0.500 0.500 0.000 Al
```


# 20
DFT (GGA-PBE) results for a relaxed PrDyPd4 crystal.

## Properties
**Calculated density**: 8.89 g/cm³
**Formation energy from the elements**: -0.557 eV per atom
**ΔE to the lowest computed polymorph**: 283 meV/atom

POSCAR file:
```
PrDyPd4
1.0
3.955 0.000 -0.001
0.000 3.956 -0.002
0.004 0.006 8.706
Dy Pd Pr
1 4 1
Direct
0.001 0.997 0.498 Dy
0.501 0.997 0.740 Pd
0.001 0.497 0.740 Pd
0.501 0.997 0.257 Pd
0.001 0.497 0.257 Pd
0.501 0.497 0.998 Pr
```


Number 1: VASP energy -0.2010 hartree per atom. Number 2: VASP energy -0.1703 hartree per atom. Number 3: VASP energy -0.1076 hartree per atom. Number 4: VASP energy -0.2026 hartree per atom. Number 5: VASP energy -0.3470 hartree per atom. Number 6: VASP energy -0.2203 hartree per atom. Number 7: VASP energy -0.2197 hartree per atom. Number 8: VASP energy -0.1655 hartree per atom. Number 9: VASP energy -0.2129 hartree per atom. Number 10: VASP energy -0.2488 hartree per atom. Number 11: VASP energy -0.1394 hartree per atom. Number 12: VASP energy -0.1563 hartree per atom. Number 13: VASP energy -0.1472 hartree per atom. Number 14: VASP energy -0.1687 hartree per atom. Number 15: VASP energy -0.3063 hartree per atom. Number 16: VASP energy -0.1083 hartree per atom. Number 17: VASP energy -0.1299 hartree per atom. Number 18: VASP energy -0.1973 hartree per atom. Number 19: VASP energy -0.1560 hartree per atom. Number 20: VASP energy -0.2052 hartree per atom.